i:
DFT (meta-GGA SCAN) results for AlNi2Cl at its PBEsol-relaxed geometry.

abc: 5.9008 5.9008 5.9008
angles: 90.00 90.00 90.00
With the nearest neighbours (Å) after each atom.
Space group Fm-3m (No. 225)
Unique sites:
Al1 0.0000 0.0000 0.0000 (multiplicity 4)  8 Ni 2.56
Ni1 0.2500 0.2500 0.2500 (multiplicity 8)  4 Al 2.56, 4 Cl 2.56
Cl1 0.0000 0.0000 0.5000 (multiplicity 4)  8 Ni 2.56

Properties
Spin magnetization, μB/cell: 0.00
Density of states at the Fermi level, states/eV/f.u.: 0.066
ρ, Mg/m³: 5.81

ii:
DFT (meta-GGA SCAN) results for AlNi2Cl at its PBEsol-relaxed geometry.

abc: 5.9415 5.9415 5.9415
angles: 90.00 90.00 90.00
With the nearest neighbours (Å) after each atom.
Space group F-43m (No. 216)
Unique sites:
Al1 0.0000 0.0000 0.0000 (multiplicity 4)  4 Cl 2.57, 4 Ni 2.57
Ni1 0.0000 0.0000 0.5000 (multiplicity 4)  4 Cl 2.57, 4 Ni 2.57
Ni2 0.2500 0.2500 0.2500 (multiplicity 4)  4 Ni 2.57, 4 Al 2.57
Cl1 0.2500 0.2500 0.7500 (multiplicity 4)  4 Ni 2.57, 4 Al 2.57

Properties
Spin magnetization, μB/cell: 0.00
Density of states at the Fermi level, states/eV/f.u.: 0.415
ρ, Mg/m³: 5.69

Least stable of them? ii.

i:
DFT (meta-GGA SCAN) results for AlOsCl2 at its PBEsol-relaxed geometry.

abc: 6.2443 6.2443 6.2443
angles: 90.00 90.00 90.00
With the nearest neighbours (Å) after each atom.
Space group Fm-3m (No. 225)
Unique sites:
Al1 0.0000 0.0000 0.0000 (multiplicity 4)  8 Cl 2.70
Os1 0.0000 0.0000 0.5000 (multiplicity 4)  8 Cl 2.70
Cl1 0.2500 0.2500 0.2500 (multiplicity 8)  4 Os 2.70, 4 Al 2.70

Properties
Spin magnetization, μB/cell: 0.01
Density of states at the Fermi level, states/eV/f.u.: 3.905
ρ, Mg/m³: 7.86

ii:
DFT (meta-GGA SCAN) results for AlOsCl2 at its PBEsol-relaxed geometry.

abc: 2.9659 5.5736 8.8293
angles: 90.00 90.00 90.00
With the nearest neighbours (Å) after each atom.
Space group Cmm2 (No. 35)
Unique sites:
Al1 0.0000 0.0000 0.0000 (multiplicity 2)  2 Cl 2.32, 2 Os 2.47
Os1 0.0000 0.5000 0.7757 (multiplicity 2)  2 Cl 2.36, 2 Al 2.47
Cl1 0.0000 0.0000 0.5676 (multiplicity 2)  2 Os 2.36
Cl2 0.0000 0.5000 0.2022 (multiplicity 2)  2 Al 2.32

Properties
Spin magnetization, μB/cell: 0.00
Density of states at the Fermi level, states/eV/f.u.: 1.408
ρ, Mg/m³: 6.56

iii:
DFT (meta-GGA SCAN) results for AlOsCl2 at its PBEsol-relaxed geometry.

abc: 6.2191 6.7714 2.9570
angles: 90.00 90.00 90.00
With the nearest neighbours (Å) after each atom.
Space group Cmmm (No. 65)
Unique sites:
Al1 0.0000 0.0000 0.0000 (multiplicity 2)  8 Cl 2.73, 2 Al 2.96
Os1 0.0000 0.5000 0.0000 (multiplicity 2)  8 Cl 2.73, 2 Os 2.96
Cl1 0.2500 0.2500 0.5000 (multiplicity 4)  4 Os 2.73, 4 Al 2.73, 2 Cl 2.96

Properties
Spin magnetization, μB/cell: 0.00
Density of states at the Fermi level, states/eV/f.u.: 3.086
ρ, Mg/m³: 7.68

Least stable of them? i.

i:
DFT (meta-GGA SCAN) results for AlP2PtCl at its PBEsol-relaxed geometry.

abc: 4.5968 4.5968 4.9834
angles: 90.00 90.00 90.00
With the nearest neighbours (Å) after each atom.
Space group P4/mmm (No. 123)
Unique sites:
Al1 0.0000 0.0000 0.0000 (multiplicity 1)  4 Cl 3.25, 8 P 3.39
P1 0.0000 0.5000 0.5000 (multiplicity 2)  2 Pt 2.30
Pt1 0.5000 0.5000 0.5000 (multiplicity 1)  4 P 2.30, 2 Cl 2.49
Cl1 0.5000 0.5000 0.0000 (multiplicity 1)  2 Pt 2.49

Properties
Spin magnetization, μB/cell: 0.00
Density of states at the Fermi level, states/eV/f.u.: 3.633
ρ, Mg/m³: 5.04

ii:
DFT (meta-GGA SCAN) results for AlP2PtCl at its PBEsol-relaxed geometry.

abc: 4.6277 4.6277 4.2846
angles: 90.00 90.00 90.00
With the nearest neighbours (Å) after each atom.
Space group P4/mmm (No. 123)
Unique sites:
Al1 0.0000 0.0000 0.0000 (multiplicity 1)  2 Cl 2.14, 4 P 2.31
P1 0.0000 0.5000 0.0000 (multiplicity 2)  2 Al 2.31
Pt1 0.5000 0.5000 0.5000 (multiplicity 1)  8 P 3.15, 4 Cl 3.27
Cl1 0.0000 0.0000 0.5000 (multiplicity 1)  2 Al 2.14

Properties
Spin magnetization, μB/cell: 0.00
Density of states at the Fermi level, states/eV/f.u.: 2.072
ρ, Mg/m³: 5.78

Least stable of them? ii.

i:
DFT (meta-GGA SCAN) results for Al2PbCl at its PBEsol-relaxed geometry.

abc: 7.0359 7.0359 7.0359
angles: 90.00 90.00 90.00
With the nearest neighbours (Å) after each atom.
Space group F-43m (No. 216)
Unique sites:
Al1 0.0000 0.0000 0.0000 (multiplicity 4)  4 Cl 3.05, 4 Al 3.05
Al2 0.2500 0.2500 0.2500 (multiplicity 4)  4 Pb 3.05, 4 Al 3.05
Pb1 0.0000 0.0000 0.5000 (multiplicity 4)  4 Cl 3.05, 4 Al 3.05
Cl1 0.2500 0.2500 0.7500 (multiplicity 4)  4 Pb 3.05, 4 Al 3.05

Properties
Spin magnetization, μB/cell: 0.00
Density of states at the Fermi level, states/eV/f.u.: 2.454
ρ, Mg/m³: 5.66

ii:
DFT (meta-GGA SCAN) results for Al2PbCl at its PBEsol-relaxed geometry.

abc: 3.1748 5.0357 5.4165
angles: 90.00 90.00 90.00
With the nearest neighbours (Å) after each atom.
Space group Pmmm (No. 47)
Unique sites:
Al1 0.0000 0.0000 0.0000 (multiplicity 1)  6 Al 2.98-3.17, 4 Cl 3.14
Al2 0.5000 0.5000 0.0000 (multiplicity 1)  6 Al 2.98-3.17, 4 Pb 3.14
Pb1 0.0000 0.5000 0.5000 (multiplicity 1)  4 Cl 2.98, 4 Al 3.14, 2 Pb 3.17
Cl1 0.5000 0.0000 0.5000 (multiplicity 1)  4 Pb 2.98, 4 Al 3.14, 2 Cl 3.17

Properties
Spin magnetization, μB/cell: 0.00
Density of states at the Fermi level, states/eV/f.u.: 1.151
ρ, Mg/m³: 5.69

iii:
DFT (meta-GGA SCAN) results for Al2PbCl at its PBEsol-relaxed geometry.

abc: 3.2465 4.7506 5.8866
angles: 90.00 90.00 90.00
With the nearest neighbours (Å) after each atom.
Space group Pmmm (No. 47)
Unique sites:
Al1 0.0000 0.0000 0.2342 (multiplicity 2)  1 Al 2.76
Pb1 0.5000 0.5000 0.5000 (multiplicity 1)  2 Cl 2.94, 2 Pb 3.25, 8 Al 3.27
Cl1 0.5000 0.5000 0.0000 (multiplicity 1)  2 Pb 2.94, 8 Al 3.19, 2 Cl 3.25

Properties
Spin magnetization, μB/cell: 0.00
Density of states at the Fermi level, states/eV/f.u.: 1.674
ρ, Mg/m³: 5.43

iv:
DFT (meta-GGA SCAN) results for Al2PbCl at its PBEsol-relaxed geometry.

abc: 3.1243 3.1243 8.9165
angles: 90.00 90.00 90.00
With the nearest neighbours (Å) after each atom.
Space group P4mm (No. 99)
Unique sites:
Al1 0.0000 0.0000 0.0000 (multiplicity 1)  8 Al 2.86-3.12, 4 Pb 3.19
Al2 0.5000 0.5000 0.2045 (multiplicity 1)  4 Cl 2.74, 4 Al 2.86
Pb1 0.5000 0.5000 0.7415 (multiplicity 1)  4 Pb 3.12, 4 Al 3.19
Cl1 0.0000 0.0000 0.3870 (multiplicity 1)  4 Al 2.74

Properties
Spin magnetization, μB/cell: 0.00
Density of states at the Fermi level, states/eV/f.u.: 1.456
ρ, Mg/m³: 5.66

Least stable of them? i.

i:
DFT (meta-GGA SCAN) results for AlPtCl2 at its PBEsol-relaxed geometry.

abc: 5.2736 3.0223 5.8339
angles: 90.00 109.33 90.00
With the nearest neighbours (Å) after each atom.
Space group Pm (No. 6)
Unique sites:
Al1 0.0000 0.0000 0.0000 (multiplicity 1)  3 Cl 2.29-2.31, 2 Pt 2.44
Pt1 0.2817 0.5000 0.8615 (multiplicity 1)  2 Al 2.44, 2 Cl 2.54
Cl1 0.5818 0.0000 0.7123 (multiplicity 1)  1 Al 2.29, 2 Pt 2.54
Cl2 0.9204 0.5000 0.2674 (multiplicity 1)  2 Al 2.31

Properties
Spin magnetization, μB/cell: 0.00
Density of states at the Fermi level, states/eV/f.u.: 0.730
ρ, Mg/m³: 5.54

ii:
DFT (meta-GGA SCAN) results for AlPtCl2 at its PBEsol-relaxed geometry.

abc: 6.4630 6.4630 6.4630
angles: 90.00 90.00 90.00
With the nearest neighbours (Å) after each atom.
Space group Fm-3m (No. 225)
Unique sites:
Al1 0.0000 0.0000 0.0000 (multiplicity 4)  8 Cl 2.80
Pt1 0.0000 0.0000 0.5000 (multiplicity 4)  8 Cl 2.80
Cl1 0.2500 0.2500 0.2500 (multiplicity 8)  4 Al 2.80, 4 Pt 2.80

Properties
Spin magnetization, μB/cell: 0.00
Density of states at the Fermi level, states/eV/f.u.: 2.678
ρ, Mg/m³: 7.21

Least stable of them? ii.

i:
DFT (meta-GGA SCAN) results for AlPtCl2 at its PBEsol-relaxed geometry.

abc: 2.9787 4.2308 5.3314
angles: 90.00 90.00 90.00
With the nearest neighbours (Å) after each atom.
Space group Pmmm (No. 47)
Unique sites:
Al1 0.0000 0.0000 0.0000 (multiplicity 1)  4 Cl 2.59
Pt1 0.5000 0.0000 0.5000 (multiplicity 1)  4 Cl 2.59
Cl1 0.0000 0.5000 0.5000 (multiplicity 1)  4 Pt 2.59
Cl2 0.5000 0.5000 0.0000 (multiplicity 1)  4 Al 2.59

Properties
Spin magnetization, μB/cell: 0.00
Density of states at the Fermi level, states/eV/f.u.: 1.717
ρ, Mg/m³: 7.24

ii:
DFT (meta-GGA SCAN) results for AlPtCl2 at its PBEsol-relaxed geometry.

abc: 5.7506 6.9994 7.2406
angles: 90.00 90.00 90.00
With the nearest neighbours (Å) after each atom.
Space group Fmmm (No. 69)
Unique sites:
Al1 0.0000 0.0000 0.0000 (multiplicity 4)  4 Cl 2.52
Pt1 0.0000 0.0000 0.5000 (multiplicity 4)  4 Cl 2.52
Cl1 0.0000 0.2500 0.2500 (multiplicity 8)  2 Al 2.52, 2 Pt 2.52

Properties
Spin magnetization, μB/cell: 0.00
Density of states at the Fermi level, states/eV/f.u.: 2.085
ρ, Mg/m³: 6.68

Least stable of them? i.

i:
DFT (meta-GGA SCAN) results for AlReCl2 at its PBEsol-relaxed geometry.

abc: 2.8677 5.3862 8.9988
angles: 90.00 90.00 90.00
With the nearest neighbours (Å) after each atom.
Space group Cmmm (No. 65)
Unique sites:
Al1 0.0000 0.0000 0.0000 (multiplicity 2)  6 Al 2.87-3.05, 4 Cl 2.95
Re1 0.0000 0.0000 0.5000 (multiplicity 2)  4 Cl 2.40
Cl1 0.0000 0.5000 0.2859 (multiplicity 4)  2 Re 2.40

Properties
Spin magnetization, μB/cell: 0.00
Density of states at the Fermi level, states/eV/f.u.: 1.869
ρ, Mg/m³: 6.79

ii:
DFT (meta-GGA SCAN) results for AlReCl2 at its PBEsol-relaxed geometry.

abc: 2.9656 2.9656 8.1091
angles: 90.00 90.00 90.00
With the nearest neighbours (Å) after each atom.
Space group P4/mmm (No. 123)
Unique sites:
Al1 0.0000 0.0000 0.0000 (multiplicity 1)  4 Al 2.97, 8 Cl 3.31
Re1 0.0000 0.0000 0.5000 (multiplicity 1)  8 Cl 2.57
Cl1 0.5000 0.5000 0.3162 (multiplicity 2)  4 Re 2.57

Properties
Spin magnetization, μB/cell: 1.46
Density of states at the Fermi level, states/eV/f.u.: 2.687
ρ, Mg/m³: 6.61

Least stable of them? ii.

i:
DFT (meta-GGA SCAN) results for AlSe2Cl at its PBEsol-relaxed geometry.

abc: 5.3035 3.2721 5.7663
angles: 90.00 103.95 90.00
With the nearest neighbours (Å) after each atom.
Space group Pm (No. 6)
Unique sites:
Al1 0.0000 0.0000 0.0000 (multiplicity 1)  2 Cl 2.34, 3 Se 2.42-2.50
Se1 0.3337 0.5000 0.9360 (multiplicity 1)  2 Al 2.50, 2 Se 2.70
Se2 0.5928 0.0000 0.7004 (multiplicity 1)  1 Al 2.42, 2 Se 2.70
Cl1 0.9500 0.5000 0.2747 (multiplicity 1)  2 Al 2.34

Properties
Spin magnetization, μB/cell: 0.00
Density of states at the Fermi level, states/eV/f.u.: 1.298
ρ, Mg/m³: 3.77

ii:
DFT (meta-GGA SCAN) results for AlSe2Cl at its PBEsol-relaxed geometry.

abc: 2.8084 2.8084 36.0098
angles: 90.00 90.00 120.00
With the nearest neighbours (Å) after each atom.
Space group R-3m (No. 166, hexagonal axes)
Unique sites:
Al1 0.0000 0.0000 0.0000 (multiplicity 3)  2 Se 2.61, 6 Al 2.81
Se1 0.0000 0.0000 0.0726 (multiplicity 6)  1 Al 2.61, 6 Se 2.81
Cl1 0.0000 0.0000 0.5000 (multiplicity 3)  6 Cl 2.81

Properties
Spin magnetization, μB/cell: 0.00
Density of states at the Fermi level, states/eV/f.u.: 1.836
ρ, Mg/m³: 4.46

Least stable of them? ii.

i:
DFT (meta-GGA SCAN) results for AlSe2Cl at its PBEsol-relaxed geometry.

abc: 3.7416 6.3528 7.3962
angles: 90.00 90.00 90.00
With the nearest neighbours (Å) after each atom.
Space group Cmmm (No. 65)
Unique sites:
Al1 0.0000 0.0000 0.0000 (multiplicity 2)  4 Se 2.43
Se1 0.0000 0.5000 0.2093 (multiplicity 4)  2 Al 2.43
Cl1 0.0000 0.0000 0.5000 (multiplicity 2)  4 Se 2.85

Properties
Spin magnetization, μB/cell: 0.00
Density of states at the Fermi level, states/eV/f.u.: 0.913
ρ, Mg/m³: 4.16

ii:
DFT (meta-GGA SCAN) results for AlSe2Cl at its PBEsol-relaxed geometry.

abc: 5.0988 12.1938 2.7457
angles: 90.00 90.00 90.00
With the nearest neighbours (Å) after each atom.
Space group Cmmm (No. 65)
Unique sites:
Al1 0.0000 0.0000 0.0000 (multiplicity 2)  2 Cl 2.55, 2 Al 2.75
Se1 0.2500 0.2500 0.5000 (multiplicity 4)  4 Se 2.55-2.75
Cl1 0.0000 0.5000 0.0000 (multiplicity 2)  2 Al 2.55, 2 Cl 2.75

Properties
Spin magnetization, μB/cell: 0.26
Density of states at the Fermi level, states/eV/f.u.: 2.107
ρ, Mg/m³: 4.29

Least stable of them? ii.

i:
DFT (meta-GGA SCAN) results for AlSiCl2 at its PBEsol-relaxed geometry.

abc: 6.1285 8.0316 3.1180
angles: 90.00 90.00 90.00
With the nearest neighbours (Å) after each atom.
Space group Cmmm (No. 65)
Unique sites:
Al1 0.0000 0.0000 0.0000 (multiplicity 2)  8 Cl 2.97, 2 Si 3.06, 2 Al 3.12
Si1 0.0000 0.5000 0.0000 (multiplicity 2)  8 Cl 2.97, 2 Al 3.06, 2 Si 3.12
Cl1 0.2500 0.2500 0.5000 (multiplicity 4)  4 Al 2.97, 4 Si 2.97, 4 Cl 3.06-3.12

Properties
Spin magnetization, μB/cell: 0.01
Density of states at the Fermi level, states/eV/f.u.: 1.523
ρ, Mg/m³: 2.73

ii:
DFT (meta-GGA SCAN) results for AlSiCl2 at its PBEsol-relaxed geometry.

abc: 10.5844 3.0682 5.2117
angles: 90.00 103.09 90.00
With the nearest neighbours (Å) after each atom.
Space group Cm (No. 8)
Unique sites:
Al1 0.0000 0.0000 0.0000 (multiplicity 2)  4 Cl 2.40-2.63, 2 Si 2.66
Si1 0.3342 0.0000 0.6652 (multiplicity 2)  1 Cl 2.32
Cl1 0.1776 0.5000 0.0426 (multiplicity 2)  2 Al 2.40
Cl2 0.4848 0.0000 0.4029 (multiplicity 2)  1 Si 2.32

Properties
Spin magnetization, μB/cell: 0.00
Density of states at the Fermi level, states/eV/f.u.: 0.403
ρ, Mg/m³: 2.54

Least stable of them? i.

i:
DFT (meta-GGA SCAN) results for AlSiCl2 at its PBEsol-relaxed geometry.

abc: 3.1322 5.4677 8.5819
angles: 90.00 90.00 90.00
With the nearest neighbours (Å) after each atom.
Space group Cmmm (No. 65)
Unique sites:
Al1 0.0000 0.0000 0.0000 (multiplicity 2)  4 Cl 2.61
Si1 0.0000 0.0000 0.5000 (multiplicity 2)  4 Cl 2.70
Cl1 0.0000 0.5000 0.2434 (multiplicity 4)  2 Al 2.61, 2 Si 2.70

Properties
Spin magnetization, μB/cell: 0.00
Density of states at the Fermi level, states/eV/f.u.: 0.695
ρ, Mg/m³: 2.85

ii:
DFT (meta-GGA SCAN) results for AlSiCl2 at its PBEsol-relaxed geometry.

abc: 3.2914 4.1686 13.5514
angles: 90.00 90.00 90.00
With the nearest neighbours (Å) after each atom.
Space group Immm (No. 71)
Unique sites:
Al1 0.0000 0.0000 0.0000 (multiplicity 2)  4 Si 2.66, 4 Cl 2.91
Si1 0.0000 0.0000 0.5000 (multiplicity 2)  4 Cl 2.61, 4 Al 2.66
Cl1 0.0000 0.5000 0.1498 (multiplicity 4)  2 Si 2.61, 2 Al 2.91

Properties
Spin magnetization, μB/cell: 0.00
Density of states at the Fermi level, states/eV/f.u.: 0.677
ρ, Mg/m³: 2.25

Least stable of them? i.

i:
DFT (meta-GGA SCAN) results for SrAlCl3 at its PBEsol-relaxed geometry.

abc: 5.5360 5.5360 5.5360
angles: 90.00 90.00 90.00
With the nearest neighbours (Å) after each atom.
Space group Pm-3m (No. 221)
Unique sites:
Sr1 0.0000 0.0000 0.0000 (multiplicity 1)  6 Cl 2.77
Al1 0.5000 0.5000 0.5000 (multiplicity 1)  12 Cl 3.91
Cl1 0.0000 0.0000 0.5000 (multiplicity 3)  2 Sr 2.77

Properties
Spin magnetization, μB/cell: 0.00
Density of states at the Fermi level, states/eV/f.u.: 0.000
ρ, Mg/m³: 2.16

ii:
DFT (meta-GGA SCAN) results for SrAlCl3 at its PBEsol-relaxed geometry.

abc: 5.1299 5.1299 5.1299
angles: 90.00 90.00 90.00
With the nearest neighbours (Å) after each atom.
Space group Pm-3m (No. 221)
Unique sites:
Sr1 0.0000 0.0000 0.0000 (multiplicity 1)  12 Cl 3.63
Al1 0.5000 0.5000 0.5000 (multiplicity 1)  6 Cl 2.56
Cl1 0.0000 0.5000 0.5000 (multiplicity 3)  2 Al 2.56

Properties
Spin magnetization, μB/cell: 0.00
Density of states at the Fermi level, states/eV/f.u.: 1.395
ρ, Mg/m³: 2.72

Least stable of them? ii.